CaGe2Pd6: optimized geometry, GGA-PBE.

abc: 11.3566 11.3566 11.3566
angles: 90.00 90.00 90.00
Closest atoms and distances in Å follow each position.
Space group Fd-3m (No. 227, origin choice 2)
Asymmetric unit:
Ca (0.1250, 0.1250, 0.1250) [8 per cell]  6 Pd 2.90
Ge (0.0000, 0.0000, 0.5000) [16 per cell]  6 Pd 2.43
Pd (0.1200, 0.3750, 0.8750) [48 per cell]  2 Ge 2.43

Calculated values
ΔH_f (0 K) = -5.82 kcal/mol of atoms
DFT total energy = -357.321 eV for the cell shown
calculated volume = 1465 Å³/cell
DOS(E_F) = 25.681 states/eV per cell
M_tot = 0.00 μB per formula unit
ΔE to the lowest computed polymorph = 208 meV per atom